This record from Alexandria describes an optimized crystal structure of CaBeIr2. The functional is GGA-PBEsol.

```
4
Lattice="-2.022 1.911 0.571 -0.481 -1.936 4.776 4.391 2.777 -0.805" Properties=species:S:1:pos:R:3 pbc="T T T"
Be 2.836 2.575 1.428
Ca 1.464 0.589 3.216
Ir 0.126 -0.093 0.759
Ir 0.600 2.445 1.007
```

Calculated values
The theoretical density comes out at 10.7 Mg/m³. Its density of states at the Fermi level is 1.3 states/eV/cell. The calculation puts the total energy at -6.58 eV/atom.

=====

This record from Alexandria describes an optimized crystal structure of Ca2BeIr. The functional is GGA-PBEsol.

```
4
Lattice="-2.578 -2.362 -1.097 0.530 -2.364 3.846 -2.536 5.209 0.865" Properties=species:S:1:pos:R:3 pbc="T T T"
Be -1.037 -0.141 2.742
Ca -4.466 0.388 3.540
Ca -3.161 0.315 0.629
Ir -1.528 -1.960 1.691
```

Calculated values
The theoretical density comes out at 5.5 Mg/m³. Its density of states at the Fermi level is 1.9 states/eV/cell. The calculation puts the total energy at -4.67 eV/atom.

=====

This record from Alexandria describes an optimized crystal structure of Ca2BeIr. The functional is GGA-PBEsol.

```
4
Lattice="3.351 0.000 0.000 0.000 3.467 0.000 0.000 0.000 6.881" Properties=species:S:1:pos:R:3 pbc="T T T"
Be 1.676 1.734 3.440
Ca 0.000 0.000 5.246
Ca 0.000 0.000 1.634
Ir 1.676 1.734 0.000
```

Calculated values
The theoretical density comes out at 5.8 Mg/m³. Its density of states at the Fermi level is 3.1 states/eV/cell. The calculation puts the total energy at -4.35 eV/atom.

=====

This record from Alexandria describes an optimized crystal structure of CaBeIr2. The functional is GGA-PBEsol.

```
4
Lattice="2.916 0.000 0.000 1.458 2.525 0.000 1.458 0.842 7.888" Properties=species:S:1:pos:R:3 pbc="T T T"
Be 2.916 1.683 3.944
Ca 0.000 0.000 0.000
Ir 1.458 0.842 2.355
Ir 4.374 2.525 5.533
```

Calculated values
The theoretical density comes out at 12.4 Mg/m³. Its density of states at the Fermi level is 1.6 states/eV/cell. The calculation puts the total energy at -6.46 eV/atom.

=====

This record from Alexandria describes an optimized crystal structure of Ca2BeIr. The functional is GGA-PBEsol.

```
4
Lattice="-2.972 -2.113 1.463 1.820 0.151 3.915 -3.490 4.268 -0.925" Properties=species:S:1:pos:R:3 pbc="T T T"
Be -0.992 -0.281 2.855
Ca -1.569 4.249 2.949
Ca -2.856 1.250 1.280
Ir 0.024 1.567 2.312
```

Calculated values
The theoretical density comes out at 5.3 Mg/m³. Its density of states at the Fermi level is 2.0 states/eV/cell. The calculation puts the total energy at -4.76 eV/atom.

=====

This record from Alexandria describes an optimized crystal structure of CaBe2IrPb. The functional is GGA-PBEsol.

```
5
Lattice="4.432 0.000 0.000 0.000 4.432 0.000 0.000 0.000 5.199" Properties=species:S:1:pos:R:3 pbc="T T T"
Pb 2.216 2.216 2.599
Be 0.000 2.216 0.000
Be 2.216 0.000 0.000
Ca 0.000 0.000 2.599
Ir 0.000 0.000 0.000
```

Calculated values
The theoretical density comes out at 7.4 Mg/m³. Its density of states at the Fermi level is 2.8 states/eV/cell. The calculation puts the total energy at -4.53 eV/atom.

=====

This record from Alexandria describes an optimized crystal structure of KCaBe2. The functional is GGA-PBEsol.

```
4
Lattice="-2.273 -3.009 1.439 -0.911 -1.140 -3.822 6.791 -2.785 -0.787" Properties=species:S:1:pos:R:3 pbc="T T T"
Be -1.236 -2.903 1.160
Be -1.220 -3.837 -0.754
Ca 1.360 -2.514 0.426
K 4.687 -3.587 -2.237
```

Calculated values
The polymorph energy (0 for the lowest one) is 0.0000 eV per atom. The theoretical density comes out at 1.4 Mg/m³. Its density of states at the Fermi level is 3.0 states/eV/cell. The calculation puts the total energy at -2.22 eV/atom.

=====

This record from Alexandria describes an optimized crystal structure of KCaBe2. The functional is GGA-PBEsol.

```
4
Lattice="-1.120 -3.742 -3.387 -1.595 -4.620 1.685 -4.909 -1.457 -0.712" Properties=species:S:1:pos:R:3 pbc="T T T"
Be -5.718 -7.364 -1.811
Be -1.906 -2.455 -0.604
Ca -3.812 -4.909 -1.207
K 0.000 0.000 0.000
```

Calculated values
The polymorph energy (0 for the lowest one) is 0.3388 eV per atom. The theoretical density comes out at 1.7 Mg/m³. Its density of states at the Fermi level is 4.1 states/eV/cell. The calculation puts the total energy at -1.89 eV/atom.

=====

Question: density of states at the Fermi level of number 8 (KCaBe2)?
Answer: 4.1 states/eV/cell